Record 1
Compound: Ti6RePb2
Source: Alexandria
Functional: PBE
Structure: optimized geometry

The structure in CIF format:
```
data_Ti6RePb2
_chemical_formula_sum 'Ti6 Re1 Pb2'
_symmetry_space_group_name_H-M 'P 1'
_symmetry_Int_Tables_number 1
_cell_length_a 3.268
_cell_length_b 7.783
_cell_length_c 7.773
_cell_angle_alpha 120.04
_cell_angle_beta 90.00
_cell_angle_gamma 90.00
loop_
_symmetry_equiv_pos_as_xyz
'x,y,z'
loop_
_atom_site_label
_atom_site_type_symbol
_atom_site_fract_x
_atom_site_fract_y
_atom_site_fract_z
Ti1 Ti 0.500 0.638 0.000
Ti2 Ti 0.500 0.362 0.362
Ti3 Ti 0.500 0.000 0.638
Ti4 Ti 0.000 0.254 0.000
Ti5 Ti 0.000 0.746 0.747
Ti6 Ti 0.000 0.999 0.253
Re1 Re 0.500 0.001 0.000
Pb1 Pb 0.000 0.333 0.666
Pb2 Pb 0.000 0.667 0.334
```

Values from the calculation:
- formation energy from the elements (eV/atom) = -0.078
- space-group type = Amm2
- Fermi-level density of states (states/eV per cell) = 9.6
- crystal system = orthorhombic
- calculated density (g cm⁻³) = 8.6

Record 2
Compound: TiVRePb2
Source: Alexandria
Functional: PBE
Structure: optimized geometry

The structure in CIF format:
```
data_TiVRePb2
_chemical_formula_sum 'Ti1 V1 Re1 Pb2'
_symmetry_space_group_name_H-M 'P 1'
_symmetry_Int_Tables_number 1
_cell_length_a 5.289
_cell_length_b 4.669
_cell_length_c 5.289
_cell_angle_alpha 90.00
_cell_angle_beta 90.00
_cell_angle_gamma 90.00
loop_
_symmetry_equiv_pos_as_xyz
'x,y,z'
loop_
_atom_site_label
_atom_site_type_symbol
_atom_site_fract_x
_atom_site_fract_y
_atom_site_fract_z
Pb1 Pb 0.000 0.000 0.500
Pb2 Pb 0.500 0.000 0.000
Re1 Re 0.000 0.000 0.000
Ti1 Ti 0.500 0.500 0.500
V1 V 0.000 0.500 0.000
```

Values from the calculation:
- formation energy from the elements (eV/atom) = 1.264
- space-group type = P4/mmm
- Fermi-level density of states (states/eV per cell) = 8.9
- crystal system = tetragonal
- calculated density (g cm⁻³) = 8.9

Record 3
Compound: Ti2ZnRePb
Source: Alexandria
Functional: PBE
Structure: optimized geometry

The structure in CIF format:
```
data_Ti2ZnRePb
_chemical_formula_sum 'Ti2 Zn1 Re1 Pb1'
_symmetry_space_group_name_H-M 'P 1'
_symmetry_Int_Tables_number 1
_cell_length_a 4.644
_cell_length_b 4.618
_cell_length_c 4.644
_cell_angle_alpha 90.00
_cell_angle_beta 90.00
_cell_angle_gamma 90.00
loop_
_symmetry_equiv_pos_as_xyz
'x,y,z'
loop_
_atom_site_label
_atom_site_type_symbol
_atom_site_fract_x
_atom_site_fract_y
_atom_site_fract_z
Pb1 Pb 0.500 0.500 0.500
Re1 Re 0.000 0.500 0.000
Zn1 Zn 0.000 0.000 0.000
Ti1 Ti 0.000 0.000 0.500
Ti2 Ti 0.500 0.000 0.000
```

Values from the calculation:
- formation energy from the elements (eV/atom) = 0.880
- space-group type = P4/mmm
- Fermi-level density of states (states/eV per cell) = 5.4
- crystal system = tetragonal
- calculated density (g cm⁻³) = 9.2

Record 4
Compound: TlRePb2
Source: Alexandria
Functional: PBE
Structure: optimized geometry

The structure in CIF format:
```
data_TlRePb2
_chemical_formula_sum 'Tl1 Re1 Pb2'
_symmetry_space_group_name_H-M 'P 1'
_symmetry_Int_Tables_number 1
_cell_length_a 5.448
_cell_length_b 5.448
_cell_length_c 5.448
_cell_angle_alpha 127.34
_cell_angle_beta 127.34
_cell_angle_gamma 77.70
loop_
_symmetry_equiv_pos_as_xyz
'x,y,z'
loop_
_atom_site_label
_atom_site_type_symbol
_atom_site_fract_x
_atom_site_fract_y
_atom_site_fract_z
Pb1 Pb 0.000 0.000 0.000
Pb2 Pb 0.500 0.500 0.000
Re1 Re 0.250 0.750 0.500
Tl1 Tl 0.750 0.250 0.500
```

Values from the calculation:
- formation energy from the elements (eV/atom) = 1.025
- energy above the most stable polymorph in this dataset (meV/atom) = 418
- space-group type = I4/mmm
- Fermi-level density of states (states/eV per cell) = 2.8
- crystal system = tetragonal
- calculated density (g cm⁻³) = 13.5